Material: SrY3I
Method: DFT, PBE-GGA
State: optimized geometry

Summary:
Its uncorrected formation energy is 0.4 eV/f.u. Its total energy is -0.1635 hartree per atom. The density of states at the Fermi level comes out at 9.0 states/eV per cell. As for the total moment: 0.00 μB per formula unit. As for the distance to the lowest polymorph of the same formula: 0 meV per atom.

a b c (Å): 5.7919 5.7919 5.7919
angles (deg): 90.00 90.00 90.00
With the nearest neighbours (Å) after each atom.
Space group Pm-3m (No. 221)
One atom of each set of equivalent atoms:
Sr: 0.0000 0.0000 0.0000  12 Y 4.10
Y: 0.0000 0.5000 0.5000  2 I 2.90
I: 0.5000 0.5000 0.5000  6 Y 2.90